Material: ZnGa2Mo2
Method: DFT, GGA-PBE
State: optimized geometry

Output
Its energy relative to the elements is 13 kJ per mole of atoms. The calculation puts the total magnetic moment at 0.0 μB per formula unit. For the relative energy among the computed polymorphs, the calculation gives 0.026 eV/atom. For the calculated total energy, the calculation gives -28.31 eV/f.u.

Lattice parameters (Å, degrees): 6.608 6.608 3.541 90.00 90.00 90.00
Space group P4/mbm (No. 127)
Unique sites:
Zn 0.000 0.000 0.000 (multiplicity 2)
Ga 0.134 0.366 0.000 (multiplicity 4)
Mo 0.165 0.665 0.500 (multiplicity 4)